Version P
{"formula": "AcTeI2", "functional": "GGA-PBE", "state": "relaxed", "lattice": [[-3.3707, 1.7175, -4.4421], [-1.7963, -3.8808, -3.9694], [-5.6086, -1.5935, -0.1922]], "species": ["I", "I", "Ac", "Te"], "fractional_positions": [[0.2501, 0.2501, 0.2497], [0.7499, 0.7499, 0.7503], [0.0000, 0.0000, 0.0000], [0.5000, 0.5000, 0.5000]], "crystal_system": "cubic", "volume_a3_per_atom": 35.106}



Version Q
{"formula": "AcTeI2", "functional": "GGA-PBE", "state": "relaxed", "lattice": [[4.6483, 0.0000, 0.0000], [-2.3242, 7.4897, 0.0000], [0.0000, 0.0000, 10.0960]], "species": ["Ac", "Ac", "Te", "Te", "I", "I", "I", "I"], "fractional_positions": [[0.2514, 0.5027, 0.2500], [0.7486, 0.4973, 0.7500], [0.9084, 0.8168, 0.2500], [0.0916, 0.1832, 0.7500], [0.3583, 0.7165, 0.5550], [0.6417, 0.2835, 0.4450], [0.6417, 0.2835, 0.0550], [0.3583, 0.7165, 0.9450]], "crystal_system": "orthorhombic", "volume_a3_per_atom": 43.936}



Which structure is the least stable? The one labeled version P.



Version P
{"formula": "Ac2ThI", "functional": "GGA-PBE", "state": "relaxed", "lattice": [[3.7812, 0.0000, 0.0000], [1.8906, 3.2746, 0.0000], [1.8906, 1.0915, 12.7803]], "species": ["I", "Ac", "Ac", "Th"], "fractional_positions": [[0.5000, 0.5000, 0.5000], [0.0947, 0.0947, 0.7160], [0.9053, 0.9053, 0.2840], [0.0000, 0.0000, 0.0000]], "crystal_system": "trigonal", "volume_a3_per_atom": 39.561}



Version Q
{"formula": "Ac2ThI", "functional": "GGA-PBE", "state": "relaxed", "lattice": [[3.9036, 0.0000, 0.0000], [0.0000, 3.9036, 0.0000], [0.0000, 0.0000, 10.3015]], "species": ["I", "Ac", "Ac", "Th"], "fractional_positions": [[0.5000, 0.5000, 0.0000], [0.0000, 0.0000, 0.7457], [0.0000, 0.0000, 0.2543], [0.5000, 0.5000, 0.5000]], "crystal_system": "tetragonal", "volume_a3_per_atom": 39.243}



Which structure is the least stable? The one labeled version P.



Version P
{"formula": "AcZnI", "functional": "GGA-PBE", "state": "relaxed", "lattice": [[-3.7876, 1.1504, 1.2952], [-1.7315, -2.4167, -2.9169], [2.6843, -3.8060, 4.5335]], "species": ["I", "Ac", "Zn"], "fractional_positions": [[0.0071, 0.0071, 0.0142], [0.6821, 0.6821, 0.3643], [0.3108, 0.3108, 0.6215]], "crystal_system": "tetragonal", "volume_a3_per_atom": 33.502}



Version Q
{"formula": "AcZnI", "functional": "GGA-PBE", "state": "relaxed", "lattice": [[-5.8488, 5.0399, 1.7773], [-2.6022, -0.5155, -7.1016], [-3.3917, -5.3590, 4.0350]], "species": ["I", "I", "I", "I", "Ac", "Ac", "Ac", "Ac", "Zn", "Zn", "Zn", "Zn"], "fractional_positions": [[0.4069, 0.4451, 0.7467], [0.9069, 0.5549, 0.7533], [0.5931, 0.5549, 0.2533], [0.0931, 0.4451, 0.2467], [0.0997, 0.1575, 0.8027], [0.5997, 0.8425, 0.6973], [0.9003, 0.8425, 0.1973], [0.4003, 0.1575, 0.3027], [0.2613, 0.8424, 0.9537], [0.7613, 0.1576, 0.5463], [0.7387, 0.1576, 0.0463], [0.2387, 0.8424, 0.4537]], "crystal_system": "monoclinic", "volume_a3_per_atom": 35.895}



Version R
{"formula": "AcZnI", "functional": "GGA-PBE", "state": "relaxed", "lattice": [[-2.8131, -3.0447, 1.8911], [0.3036, -4.3999, -1.1439], [8.2111, -2.0169, 9.3330]], "species": ["Ac", "Ac", "Zn", "Zn", "I", "I"], "fractional_positions": [[0.9962, 0.9962, 0.6647], [0.0038, 0.0038, 0.3353], [0.6666, 0.6666, 0.5020], [0.3334, 0.3334, 0.4980], [0.6744, 0.6744, 0.1588], [0.3256, 0.3256, 0.8412]], "crystal_system": "monoclinic", "volume_a3_per_atom": 37.733}



Which structure is the least stable? The one labeled version P.



Version P
{"formula": "Ac5In3", "functional": "GGA-PBE", "state": "relaxed", "lattice": [[7.7893, 0.0000, -3.8064], [-1.8601, 7.5640, -3.8064], [0.1509, 0.1925, 10.1819]], "species": ["Ac", "Ac", "Ac", "Ac", "Ac", "Ac", "Ac", "Ac", "Ac", "Ac", "In", "In", "In", "In", "In", "In"], "fractional_positions": [[0.0000, 0.0000, 0.0000], [0.5000, 0.5000, 0.0000], [0.5213, 0.0213, 0.7002], [0.1789, 0.6789, 0.7002], [0.6789, 0.5213, 0.7002], [0.0213, 0.1789, 0.7002], [0.4787, 0.9787, 0.2998], [0.8211, 0.3211, 0.2998], [0.3211, 0.4787, 0.2998], [0.9787, 0.8211, 0.2998], [0.7500, 0.7500, 0.5000], [0.2500, 0.2500, 0.5000], [0.1212, 0.6212, 0.0000], [0.8788, 0.3788, 0.0000], [0.3788, 0.1212, 0.0000], [0.6212, 0.8788, 0.0000]], "crystal_system": "tetragonal", "volume_a3_per_atom": 38.207}



Version Q
{"formula": "Ac5In3", "functional": "GGA-PBE", "state": "relaxed", "lattice": [[-4.0288, -6.1686, -0.2603], [6.8403, -4.6927, 5.3350], [-7.4295, 4.6621, 4.5100]], "species": ["Ac", "Ac", "Ac", "Ac", "Ac", "Ac", "Ac", "Ac", "Ac", "Ac", "In", "In", "In", "In", "In", "In"], "fractional_positions": [[0.0000, 0.6667, 0.3333], [0.5000, 0.3333, 0.6667], [0.0000, 0.3333, 0.6667], [0.5000, 0.6667, 0.3333], [0.7500, 0.7578, 0.7578], [0.2500, 0.2422, 0.2422], [0.7500, 0.0000, 0.2422], [0.7500, 0.2422, 0.0000], [0.2500, 0.7578, 0.0000], [0.2500, 0.0000, 0.7578], [0.7500, 0.4009, 0.4009], [0.2500, 0.5991, 0.5991], [0.7500, 0.0000, 0.5991], [0.7500, 0.5991, 0.0000], [0.2500, 0.4009, 0.0000], [0.2500, 0.0000, 0.4009]], "crystal_system": "hexagonal", "volume_a3_per_atom": 38.815}



Which structure is the least stable? The one labeled version Q.



Version P
{"formula": "Ac2In", "functional": "GGA-PBE", "state": "relaxed", "lattice": [[-0.7013, 1.2408, -5.7146], [-3.3251, -4.1470, 2.5364], [-5.1177, 5.1747, 1.7516]], "species": ["Ac", "Ac", "Ac", "Ac", "In", "In"], "fractional_positions": [[0.6665, 0.8335, 0.2500], [0.3335, 0.1665, 0.7500], [0.0000, 0.5000, 0.0000], [0.0000, 0.5000, 0.5000], [0.6670, 0.8330, 0.7500], [0.3330, 0.1670, 0.2500]], "crystal_system": "orthorhombic", "volume_a3_per_atom": 37.504}



Version Q
{"formula": "Ac2In", "functional": "GGA-PBE", "state": "relaxed", "lattice": [[4.1290, 0.0000, 0.0000], [0.0000, 4.1290, 0.0000], [-2.0645, -2.0645, 6.7466]], "species": ["Ac", "Ac", "In"], "fractional_positions": [[0.6476, 0.6476, 0.2951], [0.3524, 0.3524, 0.7049], [0.0000, 0.0000, 0.0000]], "crystal_system": "tetragonal", "volume_a3_per_atom": 38.341}



Version R
{"formula": "Ac2In", "functional": "GGA-PBE", "state": "relaxed", "lattice": [[7.0396, 0.0000, 0.0000], [3.5198, 6.0965, 0.0000], [3.5198, 2.0322, 5.7478]], "species": ["Ac", "Ac", "Ac", "Ac", "In", "In"], "fractional_positions": [[0.1250, 0.6250, 0.6250], [0.6250, 0.1250, 0.6250], [0.6250, 0.6250, 0.6250], [0.6250, 0.6250, 0.1250], [0.0000, 0.0000, 0.0000], [0.2500, 0.2500, 0.2500]], "crystal_system": "cubic", "volume_a3_per_atom": 41.113}



Which structure is the least stable? The one labeled version R.



Version P
{"formula": "Ac5In", "functional": "GGA-PBE", "state": "relaxed", "lattice": [[-0.0725, -1.6219, -5.1514], [-1.2988, -5.0001, 1.5925], [-7.4655, 4.4489, -1.2957]], "species": ["Ac", "Ac", "Ac", "Ac", "Ac", "In"], "fractional_positions": [[0.5000, 0.8394, 0.6788], [0.0000, 0.6629, 0.3257], [0.5000, 0.5000, 0.0000], [0.0000, 0.3371, 0.6743], [0.5000, 0.1606, 0.3212], [0.0000, 0.0000, 0.0000]], "crystal_system": "orthorhombic", "volume_a3_per_atom": 40.685}



Version Q
{"formula": "Ac5In", "functional": "GGA-PBE", "state": "relaxed", "lattice": [[4.1466, 0.0000, 0.0000], [-2.0733, 6.5306, -1.7997], [0.0000, -1.1401, 9.5832]], "species": ["Ac", "Ac", "Ac", "Ac", "Ac", "In"], "fractional_positions": [[0.0499, 0.0998, 0.0319], [0.6937, 0.3874, 0.3880], [0.3383, 0.6766, 0.7443], [0.3612, 0.7224, 0.1923], [0.0283, 0.0567, 0.5868], [0.6953, 0.3905, 0.8900]], "crystal_system": "monoclinic", "volume_a3_per_atom": 41.833}



Version R
{"formula": "Ac5In", "functional": "GGA-PBE", "state": "relaxed", "lattice": [[-4.8579, 0.3192, 4.1099], [-4.0053, -1.6027, -4.6098], [2.7768, -5.0788, 3.6766]], "species": ["Ac", "Ac", "Ac", "Ac", "Ac", "In"], "fractional_positions": [[0.5000, 0.6554, 0.3107], [0.0000, 0.8437, 0.6874], [0.5000, 0.0000, 0.0000], [0.0000, 0.1563, 0.3126], [0.5000, 0.3446, 0.6893], [0.0000, 0.5000, 0.0000]], "crystal_system": "orthorhombic", "volume_a3_per_atom": 40.811}



Which structure is the least stable? The one labeled version R.



Version P
{"formula": "AcIn4", "functional": "GGA-PBE", "state": "relaxed", "lattice": [[-2.4198, 0.9858, -4.2274], [-2.7519, -6.7405, 0.0033], [-3.6770, 5.4363, 6.2937]], "species": ["Ac", "Ac", "In", "In", "In", "In", "In", "In", "In", "In"], "fractional_positions": [[0.8846, 0.1346, 0.7692], [0.1154, 0.8654, 0.2308], [0.1034, 0.3534, 0.2068], [0.8966, 0.6466, 0.7932], [0.5000, 0.0000, 0.0000], [0.5000, 0.5000, 0.0000], [0.6966, 0.2335, 0.3932], [0.3034, 0.7665, 0.6068], [0.3034, 0.3403, 0.6068], [0.6966, 0.6597, 0.3932]], "crystal_system": "orthorhombic", "volume_a3_per_atom": 28.778}



Version Q
{"formula": "AcIn4", "functional": "GGA-PBE", "state": "relaxed", "lattice": [[-1.0685, -5.7731, 2.3955], [6.1156, -0.4637, 1.6104], [-1.2910, 2.5817, 5.6460]], "species": ["Ac", "In", "In", "In", "In"], "fractional_positions": [[0.5000, 0.5000, 0.5000], [0.0000, 0.0000, 0.0000], [0.5000, 0.0000, 0.5000], [0.0000, 0.5000, 0.5000], [0.5000, 0.5000, 0.0000]], "crystal_system": "cubic", "volume_a3_per_atom": 50.994}



Which structure is the least stable? The one labeled version Q.



Version P
{"formula": "AcInIr", "functional": "GGA-PBE", "state": "relaxed", "lattice": [[3.5582, 0.0000, 0.0000], [0.0000, 3.5582, 0.0000], [-1.7791, -1.7791, 5.9712]], "species": ["Ac", "Ir", "In"], "fractional_positions": [[0.0207, 0.0207, 0.0413], [0.6813, 0.6813, 0.3627], [0.2980, 0.2980, 0.5960]], "crystal_system": "tetragonal", "volume_a3_per_atom": 25.200}



Version Q
{"formula": "AcInIr", "functional": "GGA-PBE", "state": "relaxed", "lattice": [[-4.8970, -0.6283, -0.1266], [-2.2286, -2.7368, 3.4546], [-2.8557, 2.1617, 3.4005]], "species": ["Ac", "Ir", "In"], "fractional_positions": [[0.0000, 0.0000, 0.0000], [0.2500, 0.2500, 0.2500], [0.5000, 0.5000, 0.5000]], "crystal_system": "cubic", "volume_a3_per_atom": 28.394}



Which structure is the least stable? The one labeled version P.



Version P
{"formula": "AcInIr", "functional": "GGA-PBE", "state": "relaxed", "lattice": [[-0.8702, -2.9406, 3.2241], [8.4650, -2.6748, -0.1550], [1.7453, 5.2203, 5.2324]], "species": ["Ac", "Ac", "Ac", "Ac", "In", "In", "In", "In", "Ir", "Ir", "Ir", "Ir"], "fractional_positions": [[0.2500, 0.8202, 0.4612], [0.7500, 0.3202, 0.0388], [0.2500, 0.6798, 0.9612], [0.7500, 0.1798, 0.5388], [0.7500, 0.9396, 0.1370], [0.7500, 0.5604, 0.6370], [0.2500, 0.0604, 0.8630], [0.2500, 0.4396, 0.3630], [0.7500, 0.6292, 0.2611], [0.7500, 0.8708, 0.7611], [0.2500, 0.1292, 0.2389], [0.2500, 0.3708, 0.7389]], "crystal_system": "orthorhombic", "volume_a3_per_atom": 25.003}



Version Q
{"formula": "AcInIr", "functional": "GGA-PBE", "state": "relaxed", "lattice": [[4.2630, 0.0000, 0.0000], [0.0000, 4.6787, 0.0000], [0.0000, -2.3394, 4.0519]], "species": ["Ac", "Ir", "In"], "fractional_positions": [[0.6682, 0.6667, 0.3333], [0.1643, 0.0000, 0.0000], [0.1675, 0.3333, 0.6667]], "crystal_system": "trigonal", "volume_a3_per_atom": 26.938}



Which structure is the least stable? The one labeled version Q.



Version P
{"formula": "Ac6In2Ir", "functional": "GGA-PBE", "state": "relaxed", "lattice": [[8.9780, -0.0563, 3.2158], [-4.7576, 7.7772, 2.7981], [-0.0287, -0.0563, 9.5365]], "species": ["Ac", "Ac", "Ac", "Ac", "Ac", "Ac", "Ac", "Ac", "Ac", "Ac", "Ac", "Ac", "In", "In", "In", "In", "Ir", "Ir"], "fractional_positions": [[0.1616, 0.7767, 0.0616], [0.8384, 0.2233, 0.9384], [0.1616, 0.2233, 0.6151], [0.8384, 0.7767, 0.3849], [0.4721, 0.2877, 0.8156], [0.5279, 0.7123, 0.1844], [0.1033, 0.2877, 0.1844], [0.8967, 0.7123, 0.8156], [0.3322, 0.0549, 0.2773], [0.6678, 0.9451, 0.7227], [0.3322, 0.6094, 0.7227], [0.6678, 0.3906, 0.2773], [0.1317, 0.6317, 0.5000], [0.8683, 0.3683, 0.5000], [0.3657, 0.0000, 0.6343], [0.6343, 0.0000, 0.3657], [0.5000, 0.5000, 0.0000], [0.0000, 0.0000, 0.0000]], "crystal_system": "orthorhombic", "volume_a3_per_atom": 37.018}



Version Q
{"formula": "Ac6In2Ir", "functional": "GGA-PBE", "state": "relaxed", "lattice": [[-4.4473, -2.5018, 5.7919], [6.1266, 1.1380, 5.1958], [-3.4227, 10.7254, 1.6868]], "species": ["Ac", "Ac", "Ac", "Ac", "Ac", "Ac", "Ac", "Ac", "Ac", "Ac", "Ac", "Ac", "In", "In", "In", "In", "Ir", "Ir"], "fractional_positions": [[0.9047, 0.9856, 0.2498], [0.8138, 0.6872, 0.5406], [0.8118, 0.6906, 0.9577], [0.6882, 0.1906, 0.5423], [0.6862, 0.1872, 0.9594], [0.5953, 0.4856, 0.2502], [0.0953, 0.0144, 0.7502], [0.1862, 0.3128, 0.4594], [0.1882, 0.3094, 0.0423], [0.3118, 0.8094, 0.4577], [0.3138, 0.8128, 0.0406], [0.4047, 0.5144, 0.7498], [0.9658, 0.4218, 0.7532], [0.5342, 0.9218, 0.7468], [0.4658, 0.0782, 0.2532], [0.0342, 0.5782, 0.2468], [0.5000, 0.5000, 0.0000], [0.0000, 0.0000, 0.5000]], "crystal_system": "monoclinic", "volume_a3_per_atom": 39.600}



Which structure is the least stable? The one labeled version P.